Density functional theory data (PBE-GGA) for crystalline DyHoU2As4 at its relaxed geometry.

Cell lengths 7.039, 4.063, 7.183 Å; angles 90.00, 109.06, 90.00 degrees
Space group P2/m (No. 10)
One atom of each set of equivalent atoms:
Dy (0.000, 0.000, 0.000)
Ho (0.500, 0.500, 0.000)
U (0.000, 0.500, 0.500)
U (0.500, 0.000, 0.500)
As (0.250, 0.000, 0.749)
As (0.251, 0.500, 0.251)

Summary:
The energy of formation comes out at -1.135 eV per atom. The value obtained for the calculated density is 9.433 g/cm3.